1.
First-principles (PBE) data for a relaxed structure of KNi2P, as listed in Alexandria.

a = 6.2336 Å, b = 6.2336 Å, c = 6.2336 Å
α = 36.72°, β = 36.72°, γ = 36.72°
Atoms (fractional coordinates):
1 Ni 0.9354 0.9354 0.9354
2 Ni 0.5646 0.5646 0.5646
3 K 0.7500 0.7500 0.7500
4 P 0.2500 0.2500 0.2500

## Properties
As for the formation energy: -304 meV per atom. Its total energy is -4.822 eV per atom. The value obtained for the total magnetization is 0.000 μB/cell.

***

2.
First-principles (PBE) data for a relaxed structure of KNi2P, as listed in Alexandria.

a = 3.1145 Å, b = 4.3841 Å, c = 4.3841 Å
α = 90.00°, β = 90.00°, γ = 90.00°
Atoms (fractional coordinates):
1 K 0.5000 0.0000 0.5000
2 Ni 0.0000 0.0000 0.0000
3 Ni 0.0000 0.5000 0.5000
4 P 0.5000 0.5000 0.0000

## Properties
As for the formation energy: 707 meV per atom. Its total energy is -3.811 eV per atom. The value obtained for the total magnetization is 0.015 μB/cell.

***

3.
First-principles (PBE) data for a relaxed structure of KNi2P, as listed in Alexandria.

a = 4.5229 Å, b = 4.5229 Å, c = 4.5229 Å
α = 60.00°, β = 60.00°, γ = 60.00°
Atoms (fractional coordinates):
1 K 0.5000 0.5000 0.5000
2 Ni 0.0000 0.0000 0.0000
3 Ni 0.2500 0.2500 0.2500
4 P 0.7500 0.7500 0.7500

## Properties
As for the formation energy: 827 meV per atom. Its total energy is -3.691 eV per atom. The value obtained for the total magnetization is 1.074 μB/cell.

***

4.
First-principles (PBE) data for a relaxed structure of KNiP3, as listed in Alexandria.

a = 5.1633 Å, b = 5.1633 Å, c = 5.1633 Å
α = 90.00°, β = 90.00°, γ = 90.00°
Atoms (fractional coordinates):
1 Ni 0.5000 0.5000 0.5000
2 K 0.0000 0.0000 0.0000
3 P 0.0000 0.5000 0.0000
4 P 0.0000 0.0000 0.5000
5 P 0.5000 0.0000 0.0000

## Properties
As for the formation energy: 2418 meV per atom. Its total energy is -2.203 eV per atom. The energy above the lowest structure with this stoichiometry is 2040 meV/atom. The value obtained for the total magnetization is 2.001 μB/cell.

***

5.
First-principles (PBE) data for a relaxed structure of K2NiP, as listed in Alexandria.

a = 4.2153 Å, b = 4.2153 Å, c = 5.0155 Å
α = 90.00°, β = 90.00°, γ = 90.00°
Atoms (fractional coordinates):
1 K 0.0000 0.0000 0.0000
2 K 0.5000 0.5000 0.0000
3 Ni 0.5000 0.0000 0.5000
4 P 0.0000 0.5000 0.5000

## Properties
As for the formation energy: 497 meV per atom. Its total energy is -2.850 eV per atom. The value obtained for the total magnetization is 0.446 μB/cell.

***

6.
First-principles (PBE) data for a relaxed structure of KNiP2, as listed in Alexandria.

a = 3.3354 Å, b = 3.7847 Å, c = 6.3419 Å
α = 89.96°, β = 90.00°, γ = 90.00°
Atoms (fractional coordinates):
1 K 0.0000 0.6245 0.4780
2 Ni 0.5000 0.6255 0.9682
3 P 0.0000 0.1247 0.9046
4 P 0.5000 0.1253 0.1492

## Properties
As for the formation energy: -210 meV per atom. Its total energy is -4.634 eV per atom. The energy above the lowest structure with this stoichiometry is 153 meV/atom. The value obtained for the total magnetization is 0.000 μB/cell.